#A
ZrHS2Cl PBE optimized geometry; crystal system = tetragonal; total moment = 1.39 Bohr magnetons per cell
1.0
4.978 0.000 0.000
0.000 4.978 0.000
0.000 0.000 5.152
H S Zr Cl
1 2 1 1
Direct
0.500 0.500 0.500 H
0.000 0.500 0.000 S
0.500 0.000 0.000 S
0.000 0.000 0.000 Zr
0.000 0.000 0.500 Cl

#B
ZrHS2Cl PBE optimized geometry; crystal system = tetragonal; total moment = 0.00 Bohr magnetons per cell
1.0
-0.550 -1.508 3.590
3.891 -0.068 0.568
-0.187 4.365 1.805
H S Zr Cl
1 2 1 1
Direct
0.000 0.000 0.000 H
0.000 0.500 0.000 S
0.500 0.000 0.000 S
0.500 0.500 0.500 Zr
0.000 0.000 0.500 Cl

Energetically preferred structure: #A | next structure: +0.335 eV/atom

#A
ZrHSCl2 PBE optimized geometry; crystal system = tetragonal; total moment = 0.99 Bohr magnetons per cell
1.0
-0.445 -0.620 5.068
4.615 -2.226 0.133
2.086 4.367 0.717
H S Zr Cl
1 1 1 2
Direct
0.500 0.500 0.500 H
0.000 0.000 0.500 S
0.000 0.000 0.000 Zr
0.000 0.500 0.000 Cl
0.500 0.000 0.000 Cl

#B
ZrHSCl2 PBE optimized geometry; crystal system = tetragonal; total moment = 0.00 Bohr magnetons per cell
1.0
-0.983 -4.621 0.760
3.160 -1.228 -3.377
2.471 -0.137 2.362
H S Zr Cl
1 1 1 2
Direct
0.000 0.000 0.000 H
0.000 0.000 0.500 S
0.500 0.500 0.500 Zr
0.000 0.500 0.000 Cl
0.500 0.000 0.000 Cl

Energetically preferred structure: #A | next structure: +0.591 eV/atom

#A
SbHCl3 PBE optimized geometry; crystal system = triclinic; total moment = 0.00 Bohr magnetons per cell
1.0
-1.975 4.852 3.411
-5.670 -4.155 2.714
16.282 7.152 10.482
Sb H Cl
4 4 12
Direct
0.249 0.506 0.501 Sb
0.251 0.997 0.998 Sb
0.749 0.003 0.002 Sb
0.751 0.494 0.499 Sb
0.564 0.177 0.688 H
0.037 0.636 0.212 H
0.963 0.364 0.788 H
0.436 0.823 0.312 H
0.598 0.798 0.654 Cl
0.794 0.720 0.453 Cl
0.096 0.232 0.155 Cl
0.447 0.633 0.300 Cl
0.714 0.364 0.034 Cl
0.025 0.823 0.222 Cl
0.975 0.177 0.778 Cl
0.286 0.636 0.966 Cl
0.553 0.367 0.700 Cl
0.904 0.768 0.845 Cl
0.206 0.280 0.547 Cl
0.402 0.202 0.346 Cl

#B
SbHCl3 PBE optimized geometry; crystal system = cubic; total moment = 0.00 Bohr magnetons per cell
1.0
4.455 0.000 0.000
0.000 4.455 0.000
0.000 0.000 4.455
Sb H Cl
1 1 3
Direct
0.500 0.500 0.500 Sb
0.000 0.000 0.000 H
0.000 0.500 0.000 Cl
0.000 0.000 0.500 Cl
0.500 0.000 0.000 Cl

#C
SbHCl3 PBE optimized geometry; crystal system = cubic; total moment = 1.00 Bohr magnetons per cell
1.0
5.285 0.000 0.000
0.000 5.285 0.000
0.000 0.000 5.285
Sb H Cl
1 1 3
Direct
0.000 0.000 0.000 Sb
0.500 0.500 0.500 H
0.000 0.500 0.000 Cl
0.000 0.000 0.500 Cl
0.500 0.000 0.000 Cl

Energetically preferred structure: #A | next structure: +0.443 eV/atom

#A
SbH2Cl6 PBE optimized geometry; crystal system = monoclinic; total moment = 1.91 Bohr magnetons per cell
1.0
6.353 -0.248 -0.240
1.538 9.445 0.424
1.538 0.730 9.426
Sb H Cl
2 4 12
Direct
0.250 0.101 0.899 Sb
0.750 0.899 0.101 Sb
0.202 0.651 0.607 H
0.298 0.393 0.349 H
0.798 0.349 0.393 H
0.702 0.607 0.651 H
0.369 0.714 0.552 Cl
0.131 0.448 0.286 Cl
0.631 0.286 0.448 Cl
0.869 0.552 0.714 Cl
0.866 0.879 0.330 Cl
0.634 0.670 0.121 Cl
0.134 0.121 0.670 Cl
0.366 0.330 0.879 Cl
0.109 0.825 0.967 Cl
0.391 0.033 0.175 Cl
0.891 0.175 0.033 Cl
0.609 0.967 0.825 Cl

#B
SbH2Cl6 PBE optimized geometry; crystal system = monoclinic; total moment = 2.11 Bohr magnetons per cell
1.0
0.862 3.839 4.072
2.656 -5.983 8.841
9.497 4.806 -2.778
Sb H Cl
2 4 12
Direct
0.250 0.181 0.819 Sb
0.750 0.819 0.181 Sb
0.999 0.626 0.662 H
0.501 0.338 0.374 H
0.001 0.374 0.338 H
0.499 0.662 0.626 H
0.317 0.708 0.579 Cl
0.183 0.421 0.292 Cl
0.683 0.292 0.421 Cl
0.817 0.579 0.708 Cl
0.880 0.856 0.376 Cl
0.620 0.624 0.144 Cl
0.120 0.144 0.624 Cl
0.380 0.376 0.856 Cl
0.093 0.793 0.989 Cl
0.407 0.011 0.207 Cl
0.907 0.207 0.011 Cl
0.593 0.989 0.793 Cl

Energetically preferred structure: #A | next structure: +0.015 eV/atom

#A
ScH3Cl PBE optimized geometry; crystal system = cubic; total moment = 0.00 Bohr magnetons per cell
1.0
3.869 0.000 0.000
0.000 3.869 0.000
0.000 0.000 3.869
Sc H Cl
1 3 1
Direct
0.000 0.000 0.000 Sc
0.000 0.500 0.000 H
0.000 0.000 0.500 H
0.500 0.000 0.000 H
0.500 0.500 0.500 Cl

#B
ScH3Cl PBE optimized geometry; crystal system = cubic; total moment = 0.00 Bohr magnetons per cell
1.0
3.797 0.000 0.000
0.000 3.797 0.000
0.000 0.000 3.797
Sc H Cl
1 3 1
Direct
0.500 0.500 0.500 Sc
0.000 0.500 0.000 H
0.000 0.000 0.500 H
0.500 0.000 0.000 H
0.000 0.000 0.000 Cl

Energetically preferred structure: #A | next structure: +0.913 eV/atom

#A
Sc2HCl3 PBE optimized geometry; crystal system = monoclinic; total moment = 2.06 Bohr magnetons per cell
1.0
3.501 0.000 0.000
-1.750 7.902 -3.051
0.000 0.147 9.798
Sc H Cl
4 2 6
Direct
0.082 0.164 0.764 Sc
0.918 0.836 0.236 Sc
0.419 0.837 0.532 Sc
0.581 0.163 0.468 Sc
0.545 0.089 0.644 H
0.455 0.911 0.356 H
0.925 0.851 0.732 Cl
0.075 0.149 0.268 Cl
0.362 0.725 0.043 Cl
0.638 0.275 0.957 Cl
0.187 0.375 0.629 Cl
0.813 0.625 0.371 Cl

#B
Sc2HCl3 PBE optimized geometry; crystal system = monoclinic; total moment = 2.01 Bohr magnetons per cell
1.0
3.504 0.000 0.000
1.752 8.221 0.426
1.752 2.383 8.769
Sc H Cl
4 2 6
Direct
0.863 0.476 0.798 Sc
0.137 0.524 0.202 Sc
0.573 0.313 0.541 Sc
0.427 0.687 0.459 Sc
0.424 0.489 0.664 H
0.576 0.511 0.336 H
0.034 0.178 0.754 Cl
0.966 0.822 0.246 Cl
0.668 0.673 0.991 Cl
0.332 0.327 0.009 Cl
0.795 0.794 0.615 Cl
0.205 0.206 0.385 Cl

Energetically preferred structure: #A | next structure: +0.008 eV/atom

#A
HSe2Cl PBE optimized geometry; crystal system = trigonal; total moment = 0.00 Bohr magnetons per cell
1.0
7.899 0.549 7.359
8.870 -1.778 5.917
9.547 0.891 4.992
H Se Cl
1 2 1
Direct
0.000 0.000 0.000 H
0.944 0.944 0.944 Se
0.056 0.056 0.056 Se
0.500 0.500 0.500 Cl

#B
HSe2Cl PBE optimized geometry; crystal system = trigonal; total moment = 0.00 Bohr magnetons per cell
1.0
2.074 0.000 6.999
-1.037 1.796 6.999
-1.037 -1.796 6.999
H Se Cl
1 2 1
Direct
0.500 0.500 0.500 H
0.882 0.882 0.882 Se
0.118 0.118 0.118 Se
0.000 0.000 0.000 Cl

#C
HSe2Cl PBE optimized geometry; crystal system = tetragonal; total moment = 0.00 Bohr magnetons per cell
1.0
5.423 0.000 0.000
0.000 5.423 0.000
2.712 2.712 5.289
H Se Cl
2 4 2
Direct
0.500 0.500 0.000 H
0.250 0.750 0.500 H
0.472 0.125 0.250 Se
0.278 0.625 0.250 Se
0.375 0.528 0.750 Se
0.875 0.722 0.750 Se
0.000 0.000 0.000 Cl
0.750 0.250 0.500 Cl

Energetically preferred structure: #A | next structure: +0.200 eV/atom

#A
HSeCl3 PBE optimized geometry; crystal system = triclinic; total moment = 0.00 Bohr magnetons per cell
1.0
7.469 -0.317 -1.219
-4.455 8.483 -1.182
-2.225 -2.464 6.527
H Se Cl
2 2 6
Direct
0.359 0.346 0.980 H
0.378 0.152 0.619 H
0.033 0.671 0.528 Se
0.994 0.915 0.748 Se
0.091 0.197 0.001 Cl
0.603 0.773 0.420 Cl
0.545 0.435 0.961 Cl
0.413 0.862 0.904 Cl
0.308 0.009 0.437 Cl
0.821 0.410 0.510 Cl

#B
HSeCl3 PBE optimized geometry; crystal system = cubic; total moment = 0.90 Bohr magnetons per cell
1.0
-3.217 1.892 3.322
3.007 -1.429 3.726
2.361 4.398 -0.218
H Se Cl
1 1 3
Direct
0.500 0.500 0.500 H
0.000 0.000 0.000 Se
0.000 0.500 0.000 Cl
0.000 0.000 0.500 Cl
0.500 0.000 0.000 Cl

#C
HSeCl3 PBE optimized geometry; crystal system = cubic; total moment = 0.00 Bohr magnetons per cell
1.0
-4.184 -0.894 -0.772
-0.064 -2.665 3.435
-1.179 3.317 2.552
H Se Cl
1 1 3
Direct
0.000 0.000 0.000 H
0.500 0.500 0.500 Se
0.000 0.500 0.000 Cl
0.000 0.000 0.500 Cl
0.500 0.000 0.000 Cl

Energetically preferred structure: #A | next structure: +0.670 eV/atom